Record 1
First-principles (PBE) data for crystalline NbCd2PRh at its relaxed geometry, as listed in the Alexandria database.

Computed properties:
Space group ... P4/mmm
Energy relative to the elements ... 0.68 eV/atom
Density ... 6.6 g cm⁻³

Cell lengths 5.122, 4.341, 5.122 Å; angles 90.00, 90.00, 90.00 degrees
Site moments in Bohr magnetons follow the coordinates.
Fractional coordinates of all 5 atoms:
Rh  0.000  0.000  0.000  0.14
P  0.000  0.500  0.000  -0.02
Cd  0.000  0.000  0.500  0.01
Cd  0.500  0.000  0.000  0.00
Nb  0.500  0.500  0.500  2.35



Record 2
First-principles (PBE) data for crystalline Ca3MgP at its relaxed geometry, as listed in the Alexandria database.

Computed properties:
Excess energy over the best structure of this formula in the dataset ... 83 meV/atom
Space group ... Pnma
Energy relative to the elements ... -0.48 eV/atom
Density ... 1.8 g cm⁻³

Cell lengths 7.764, 11.014, 7.775 Å; angles 90.00, 90.00, 90.00 degrees
Fractional coordinates of all 20 atoms:
Ca  0.725  0.984  0.725
Ca  0.275  0.484  0.275
Ca  0.775  0.484  0.225
Ca  0.500  0.250  0.969
Ca  0.225  0.984  0.775
Ca  0.275  0.016  0.275
Ca  0.725  0.516  0.725
Ca  0.225  0.516  0.775
Ca  0.500  0.750  0.031
Ca  0.000  0.250  0.531
Ca  0.775  0.016  0.225
Ca  0.000  0.750  0.469
Mg  0.513  0.250  0.497
Mg  0.013  0.250  0.003
Mg  0.987  0.750  0.997
Mg  0.487  0.750  0.503
P  0.500  0.000  0.000
P  0.500  0.500  0.000
P  0.000  0.500  0.500
P  0.000  0.000  0.500



Record 3
First-principles (PBE) data for crystalline Rb3CrTc at its relaxed geometry, as listed in the Alexandria database.

Computed properties:
Excess energy over the best structure of this formula in the dataset ... 0 meV/atom
Space group ... Pm-3m
Energy relative to the elements ... 1.65 eV/atom
Density ... 2.5 g cm⁻³

Cell lengths 6.451, 6.451, 6.451 Å; angles 90.00, 90.00, 90.00 degrees
Site moments in Bohr magnetons follow the coordinates.
Fractional coordinates of all 5 atoms:
Tc  0.000  0.000  0.000  2.56
Rb  0.000  0.000  0.500  0.00
Rb  0.500  0.000  0.000  0.02
Rb  0.000  0.500  0.000  0.01
Cr  0.500  0.500  0.500  4.30



Record 4
First-principles (PBE) data for crystalline Ce2YPaSe4 at its relaxed geometry, as listed in the Alexandria database.

Computed properties:
Space group ... P2/m
Density ... 7.6 g cm⁻³
Formation energy without anion corrections ... -1649 meV/atom

Cell lengths 4.108, 7.195, 7.154 Å; angles 109.12, 90.00, 90.00 degrees
Site moments in Bohr magnetons follow the coordinates.
Fractional coordinates of all 8 atoms:
Pa  0.500  0.500  0.000  0.42
Se  0.500  0.755  0.760  -0.01
Se  0.500  0.245  0.240  -0.01
Se  0.000  0.750  0.242  -0.01
Se  0.000  0.250  0.758  -0.01
Y  0.000  0.000  0.000  0.00
Ce  0.500  0.000  0.500  0.57
Ce  0.000  0.500  0.500  0.75



Record 5
First-principles (PBE) data for crystalline PrNdI3 at its relaxed geometry, as listed in the Alexandria database.

Computed properties:
Excess energy over the best structure of this formula in the dataset ... 33 meV/atom
Space group ... P2_1/m
Density ... 5.7 g cm⁻³
Formation energy without anion corrections ... -1089 meV/atom

Cell lengths 4.018, 8.049, 12.678 Å; angles 107.59, 90.00, 90.00 degrees
Fractional coordinates of all 10 atoms:
Nd  0.750  0.874  0.825
Nd  0.250  0.126  0.175
I  0.250  0.194  0.936
I  0.750  0.455  0.237
I  0.750  0.795  0.562
I  0.750  0.806  0.064
I  0.250  0.205  0.438
I  0.250  0.545  0.763
Pr  0.250  0.121  0.670
Pr  0.750  0.879  0.330



Record 6
First-principles (PBE) data for crystalline TmHfPa2C4 at its relaxed geometry, as listed in the Alexandria database.

Computed properties:
Space group ... P2/m
Energy relative to the elements ... -0.53 eV/atom
Density ... 11.6 g cm⁻³

Cell lengths 3.524, 6.055, 6.120 Å; angles 70.40, 90.00, 90.00 degrees
Fractional coordinates of all 8 atoms:
C  0.000  0.756  0.739
C  0.500  0.256  0.739
C  0.000  0.244  0.261
C  0.500  0.744  0.261
Hf  0.000  0.500  0.500
Pa  0.000  0.000  0.000
Pa  0.500  0.000  0.500
Tm  0.500  0.500  0.000



| no. | VASP energy (eV per atom) |
| --- | --- |
| 1 | -4.25 |
| 2 | -3.09 |
| 3 | -2.93 |
| 4 | -6.87 |
| 5 | -3.93 |
| 6 | -9.32 |